LiGeS: optimized geometry, GGA-PBE.

Results
* space-group type: No. 70
* formation energy from raw total energies: -0.416 eV/atom
* excess energy over the best structure of this formula in the dataset: 0.333 eV per atom
* E: -47.62 eV/cell
* M_tot: 0.0 Bohr magnetons per cell

Unit cell a=7.9586 b=7.0882 c=6.2516 alpha=72.95 beta=58.37 gamma=48.68
Fractional coordinates of all 12 atoms:
Li  0.0056  0.0056  0.7444
Li  0.2556  0.2556  0.9944
Li  0.7444  0.7444  0.0056
Li  0.9944  0.9944  0.2556
Ge  0.0000  0.5000  0.5000
Ge  0.5000  0.0000  0.5000
Ge  0.5000  0.5000  0.0000
Ge  0.5000  0.5000  0.5000
S  0.0551  0.6949  0.0551
S  0.3051  0.9449  0.3051
S  0.6949  0.0551  0.6949
S  0.9449  0.3051  0.9449